Entry 1:
Density functional theory data (PBE) for a relaxed ZnBiPdO4 crystal.

Cell: 6.095 6.664 9.924 Å, 90.00 90.00 90.00°
Space group Imma (No. 74)
Symmetry-distinct sites (fractional):
Zn 0.000 0.250 0.168 [4 per cell]
Bi 0.000 0.000 0.500 [4 per cell]
Pd 0.250 0.250 0.750 [4 per cell]
O 0.000 0.044 0.733 [8 per cell]
O 0.235 0.250 0.443 [8 per cell]

Properties
Magnetic moment (μB/f.u.): 0.000


Entry 2:
Density functional theory data (PBE) for a relaxed ZnBiPdO6 crystal.

Cell: 5.2761 5.2761 9.0618 Å, 90.00 90.00 120.00°
Space group P-31c (No. 163)
Symmetry-distinct sites (fractional):
Zn 0.3333 0.6667 0.2500 [2 per cell]
Bi 0.0000 0.0000 0.0000 [2 per cell]
Pd 0.3333 0.6667 0.7500 [2 per cell]
O 0.0078 0.3580 0.6294 [12 per cell]

Properties
Magnetic moment (μB/f.u.): 0.040


Entry 3:
Density functional theory data (PBE) for a relaxed ZrBi2PdO6 crystal.

Cell: 10.968 5.647 5.082 Å, 90.00 110.83 90.00°
Space group C2 (No. 5)
Symmetry-distinct sites (fractional):
Zr 0.000 0.000 0.000 [2 per cell]
Bi 0.239 0.563 0.223 [4 per cell]
Pd 0.000 0.509 0.500 [2 per cell]
O 0.087 0.259 0.810 [4 per cell]
O 0.089 0.751 0.804 [4 per cell]
O 0.181 0.941 0.315 [4 per cell]

Properties
Magnetic moment (μB/f.u.): 0.000


Entry 4:
Density functional theory data (PBE) for a relaxed Pm4BiO10 crystal.

Cell: 8.713 8.713 5.663 Å, 90.00 90.00 90.00°
Space group I4/m (No. 87)
Symmetry-distinct sites (fractional):
Pm 0.097 0.697 0.000 [8 per cell]
Bi 0.000 0.000 0.500 [2 per cell]
O 0.000 0.500 0.250 [4 per cell]
O 0.099 0.188 0.264 [16 per cell]

Properties
Magnetic moment (μB/f.u.): 3.079


Entry 5:
Density functional theory data (PBE) for a relaxed PmBiO4 crystal.

Cell: 7.378 11.447 5.360 Å, 90.00 129.91 90.00°
Space group C2/c (No. 15)
Symmetry-distinct sites (fractional):
Pm 0.000 0.137 0.250 [4 per cell]
Bi 0.000 0.401 0.750 [4 per cell]
O 0.168 0.283 0.666 [8 per cell]
O 0.241 0.473 0.234 [8 per cell]

Properties
Energy above the most stable polymorph in this dataset (kJ/mol of formula units): 5.2
Magnetic moment (μB/f.u.): 0.000


Entry 6:
Density functional theory data (PBE) for a relaxed Pm5Bi5O crystal.

Cell: 12.938 6.262 9.499 Å, 90.00 117.17 90.00°
Space group C2/m (No. 12)
Symmetry-distinct sites (fractional):
Pm 0.000 0.000 0.000 [2 per cell]
Pm 0.155 0.500 0.271 [4 per cell]
Pm 0.155 0.500 0.885 [4 per cell]
Bi 0.000 0.500 0.500 [2 per cell]
Bi 0.114 0.000 0.769 [4 per cell]
Bi 0.212 0.000 0.345 [4 per cell]
O 0.000 0.500 0.000 [2 per cell]

Properties
Magnetic moment (μB/f.u.): 0.000


Entry 7:
Density functional theory data (PBE) for a relaxed Pm2Bi2O crystal.

Cell: 13.737 4.246 11.656 Å, 90.00 123.63 90.00°
Space group C2/m (No. 12)
Symmetry-distinct sites (fractional):
Pm 0.029 0.000 0.193 [4 per cell]
Pm 0.197 0.000 0.581 [4 per cell]
Bi 0.049 0.500 0.658 [4 per cell]
Bi 0.136 0.500 0.066 [4 per cell]
O 0.211 0.000 0.392 [4 per cell]

Properties
Magnetic moment (μB/f.u.): 0.000


Entry 8:
Density functional theory data (PBE) for a relaxed Pm2BiO5 crystal.

Cell: 6.881 7.782 10.153 Å, 82.43 70.30 88.83°
Space group P-1 (No. 2)
Symmetry-distinct sites (fractional):
Pm 0.057 0.199 0.175 [2 per cell]
Pm 0.233 0.126 0.505 [2 per cell]
Pm 0.266 0.619 0.503 [2 per cell]
Pm 0.443 0.590 0.837 [2 per cell]
Bi 0.088 0.665 0.180 [2 per cell]
Bi 0.412 0.073 0.823 [2 per cell]
O 0.014 0.373 0.596 [2 per cell]
O 0.051 0.848 0.591 [2 per cell]
O 0.082 0.098 0.772 [2 per cell]
O 0.147 0.536 0.772 [2 per cell]
O 0.168 0.781 0.964 [2 per cell]
O 0.271 0.451 0.078 [2 per cell]
O 0.378 0.140 0.201 [2 per cell]
O 0.384 0.694 0.213 [2 per cell]
O 0.445 0.377 0.407 [2 per cell]
O 0.487 0.900 0.397 [2 per cell]

Properties
Magnetic moment (μB/f.u.): 0.000


Entry 9:
Density functional theory data (PBE) for a relaxed PmBi2O4 crystal.

Cell: 7.164 7.164 10.101 Å, 90.00 90.00 90.00°
Space group I4_1/amd (No. 141, origin choice 2)
Symmetry-distinct sites (fractional):
Pm 0.000 0.250 0.375 [4 per cell]
Bi 0.000 0.000 0.000 [8 per cell]
O 0.000 0.013 0.755 [16 per cell]

Properties
Magnetic moment (μB/f.u.): 0.000


Entry 10:
Density functional theory data (PBE) for a relaxed PmBiO2 crystal.

Cell: 3.6461 3.6461 20.9712 Å, 90.00 90.00 120.00°
Space group R-3m (No. 166, hexagonal axes)
Symmetry-distinct sites (fractional):
Pm 0.0000 0.0000 0.0000 [3 per cell]
Bi 0.0000 0.0000 0.5000 [3 per cell]
O 0.0000 0.0000 0.3859 [6 per cell]

Properties
Magnetic moment (μB/f.u.): 0.000


Entry 11:
Density functional theory data (PBE) for a relaxed Pm3Bi3O crystal.

Cell: 13.102 4.325 14.861 Å, 90.00 90.00 90.00°
Space group Pnma (No. 62)
Symmetry-distinct sites (fractional):
Pm 0.039 0.250 0.120 [4 per cell]
Pm 0.047 0.250 0.691 [4 per cell]
Pm 0.186 0.250 0.337 [4 per cell]
Bi 0.094 0.750 0.503 [4 per cell]
Bi 0.137 0.250 0.907 [4 per cell]
Bi 0.211 0.750 0.170 [4 per cell]
O 0.019 0.250 0.277 [4 per cell]

Properties
Energy above the most stable polymorph in this dataset (kJ/mol of formula units): 6.8
Magnetic moment (μB/f.u.): 0.000


Entry 12:
Density functional theory data (PBE) for a relaxed PmBiO4 crystal.

Cell: 7.932 5.627 7.958 Å, 90.00 97.22 90.00°
Space group P2_1/c (No. 14)
Symmetry-distinct sites (fractional):
Pm 0.136 0.231 0.390 [4 per cell]
Bi 0.339 0.728 0.183 [4 per cell]
O 0.112 0.507 0.166 [4 per cell]
O 0.160 0.501 0.617 [4 per cell]
O 0.327 0.603 0.928 [4 per cell]
O 0.421 0.101 0.816 [4 per cell]

Properties
Energy above the most stable polymorph in this dataset (kJ/mol of formula units): 0.0
Magnetic moment (μB/f.u.): 0.000


| no. | raw formation energy (eV per atom) | VASP energy (eV for the cell shown) |
| --- | --- | --- |
| 1 | -0.818 | -143.6 |
| 2 | -0.609 | -91.2 |
| 3 | -1.619 | -134.9 |
| 4 | -2.322 | -214.6 |
| 5 | -1.961 | -160.9 |
| 6 | -0.898 | -116.0 |
| 7 | -1.608 | -121.0 |
| 8 | -2.534 | -233.8 |
| 9 | -1.646 | -175.5 |
| 10 | -2.295 | -83.2 |
| 11 | -1.320 | -160.4 |
| 12 | -1.971 | -161.2 |